Compound: MnSi2BO6
Source: Alexandria via LeMat-Bulk
Functional: GGA+U
Structure: optimized geometry

Calculated values
* calculated total energy: -7.712 eV per atom
* V: 12.5 A^3/atom
* symmetry: C2/c, No. 15

a b c (Å): 5.518 7.338 7.338
angles (deg): 91.69 67.94 67.94
Sites, in units of the cell vectors:
Mn 0.250 0.753 0.247
Mn 0.750 0.247 0.753
Si 0.361 0.829 0.665
Si 0.139 0.335 0.171
Si 0.639 0.171 0.335
Si 0.861 0.665 0.829
B 0.250 0.247 0.753
B 0.750 0.753 0.247
O 0.178 0.074 0.740
O 0.322 0.260 0.926
O 0.822 0.926 0.260
O 0.678 0.740 0.074
O 0.492 0.766 0.420
O 0.008 0.580 0.234
O 0.508 0.234 0.580
O 0.992 0.420 0.766
O 0.130 0.731 0.758
O 0.370 0.242 0.269
O 0.870 0.269 0.242
O 0.630 0.758 0.731